DFT (PBE) results for UTl2PdS4 after structural relaxation.

abc: 7.406 7.406 7.331
angles: 90.00 90.00 90.00
Positions (direct):
U  0.000  0.000  0.000
U  0.500  0.500  0.500
Tl  0.000  0.000  0.500
Tl  0.000  0.500  0.250
Tl  0.500  0.000  0.750
Tl  0.500  0.500  0.000
Pd  0.000  0.500  0.750
Pd  0.500  0.000  0.250
S  0.182  0.754  0.827
S  0.246  0.182  0.173
S  0.254  0.318  0.673
S  0.318  0.746  0.327
S  0.682  0.254  0.327
S  0.746  0.682  0.673
S  0.754  0.818  0.173
S  0.818  0.246  0.827

Summary:
- space-group type = I-4
- M_tot (μB/f.u.) = 1.80
- formation energy without anion corrections (eV/atom) = -0.524

=====

DFT (PBE) results for Li2Th2Sb2Se after structural relaxation.

abc: 4.579 4.579 17.435
angles: 90.00 90.00 90.00
Positions (direct):
Li  0.000  0.500  0.000
Li  0.000  0.500  0.500
Li  0.500  0.000  0.000
Li  0.500  0.000  0.500
Th  0.000  0.000  0.171
Th  0.000  0.000  0.829
Th  0.500  0.500  0.329
Th  0.500  0.500  0.671
Sb  0.000  0.000  0.357
Sb  0.000  0.000  0.643
Sb  0.500  0.500  0.143
Sb  0.500  0.500  0.857
Se  0.000  0.000  0.000
Se  0.500  0.500  0.500

Summary:
- space-group type = I4/mmm
- M_tot (μB/f.u.) = 0.00
- formation energy without anion corrections (eV/atom) = -0.932

=====

DFT (PBE) results for GaC3F after structural relaxation.

abc: 3.789 3.789 3.789
angles: 90.00 90.00 90.00
Positions (direct):
Ga  0.000  0.000  0.000
C  0.000  0.500  0.500
C  0.500  0.000  0.500
C  0.500  0.500  0.000
F  0.500  0.500  0.500

Summary:
- space-group type = Pm-3m
- M_tot (μB/f.u.) = 0.00
- formation energy without anion corrections (eV/atom) = 3.064

=====

DFT (PBE) results for MnReW2 after structural relaxation.

abc: 6.218 6.218 6.218
angles: 90.00 90.00 90.00
Positions (direct):
Mn  0.000  0.000  0.000
Mn  0.000  0.500  0.500
Mn  0.500  0.000  0.500
Mn  0.500  0.500  0.000
Re  0.250  0.250  0.250
Re  0.250  0.750  0.750
Re  0.750  0.250  0.750
Re  0.750  0.750  0.250
W  0.000  0.000  0.500
W  0.000  0.500  0.000
W  0.250  0.250  0.750
W  0.250  0.750  0.250
W  0.500  0.000  0.000
W  0.500  0.500  0.500
W  0.750  0.250  0.250
W  0.750  0.750  0.750

Summary:
- space-group type = F-43m
- M_tot (μB/f.u.) = 2.21
- formation enthalpy at 0 K (eV per formula unit) = 0.42